# PmV2ZnO8

Crystalline PmV2ZnO8 at its relaxed geometry (PBE with a Hubbard U, the Alexandria database).

The magnetization is 2.15 Bohr magnetons per cell. Its total energy is -167.61 eV for the cell shown.

It has space group I-4m2 (No. 119), with a = 7.1410 Å, b = 7.1410 Å, c = 6.4690 Å, α = 90.00°, β = 90.00° and γ = 90.00°. Symmetry generates all atoms from Pm at (0.0000, 0.0000, 0.0000), V at (0.0000, 0.0000, 0.5000), V at (0.0000, 0.5000, 0.2500), Zn at (0.0000, 0.5000, 0.7500), O at (0.0000, 0.1934, 0.6676) and O at (0.0000, 0.3133, 0.0806).